[1]
Material: RuS4Cl12
Method: DFT, GGA-PBE
State: optimized geometry

Computed properties:
ΔE_f (raw)	-0.219	eV/atom
V	32.369	Å³ per atom

abc: 11.1233 12.8886 16.0211
angles: 90.00 106.60 90.00
Closest atoms and distances in Å follow each position.
Fractional coordinates of all 68 atoms:
Ru 0.1937 0.2099 0.3014  3 S 2.23-2.31, 3 Cl 2.38-2.43
Ru 0.1937 0.2901 0.8014  3 S 2.23-2.31, 3 Cl 2.38-2.43
Ru 0.8063 0.7099 0.1986  3 S 2.23-2.31, 3 Cl 2.38-2.43
Ru 0.8063 0.7901 0.6986  3 S 2.23-2.31, 3 Cl 2.38-2.43
S 0.0112 0.7365 0.7190  2 Cl 2.05-2.09
S 0.0112 0.7635 0.2190  2 Cl 2.05-2.09
S 0.1501 0.0589 0.2287  2 Cl 2.07-2.11, 1 Ru 2.25
S 0.1501 0.4411 0.7287  2 Cl 2.07-2.11, 1 Ru 2.25
S 0.2043 0.2028 0.6835  2 Cl 2.09-2.10, 1 Ru 2.23
S 0.2043 0.2972 0.1835  2 Cl 2.09-2.10, 1 Ru 2.23
S 0.4756 0.0789 0.4817  1 Cl 2.02, 1 S 2.14
S 0.4756 0.4211 0.9817  1 Cl 2.02, 1 S 2.14
S 0.5244 0.5789 0.0183  1 Cl 2.02, 1 S 2.14
S 0.5244 0.9211 0.5183  1 Cl 2.02, 1 S 2.14
S 0.7957 0.7028 0.8165  2 Cl 2.09-2.10, 1 Ru 2.23
S 0.7957 0.7972 0.3165  2 Cl 2.09-2.10, 1 Ru 2.23
S 0.8499 0.5589 0.2713  2 Cl 2.07-2.11, 1 Ru 2.25
S 0.8499 0.9411 0.7713  2 Cl 2.07-2.11, 1 Ru 2.25
S 0.9888 0.2365 0.7810  2 Cl 2.05-2.09
S 0.9888 0.2635 0.2810  2 Cl 2.05-2.09
Cl 0.0611 0.0931 0.6418  1 S 2.09
Cl 0.0611 0.4069 0.1418  1 S 2.09
Cl 0.0729 0.7210 0.1153  1 S 2.05
Cl 0.0729 0.7790 0.6153  1 S 2.05
Cl 0.1153 0.0753 0.0952  1 S 2.07
Cl 0.1153 0.4247 0.5952  1 S 2.07
Cl 0.1358 0.6760 0.3153  1 S 2.09
Cl 0.1358 0.8240 0.8153  1 S 2.09
Cl 0.1956 0.0898 0.4183  1 Ru 2.43
Cl 0.1956 0.4102 0.9183  1 Ru 2.43
Cl 0.1977 0.1391 0.8909  1 Ru 2.41
Cl 0.1977 0.3609 0.3909  1 Ru 2.41
Cl 0.3047 0.5429 0.7512  1 S 2.11
Cl 0.3047 0.9571 0.2512  1 S 2.11
Cl 0.3459 0.6236 0.0044  1 S 2.02
Cl 0.3459 0.8764 0.5044  1 S 2.02
Cl 0.3592 0.1016 0.7130  1 S 2.10
Cl 0.3592 0.3984 0.2130  1 S 2.10
Cl 0.4161 0.1945 0.3486  1 Ru 2.38, 1 S 2.53
Cl 0.4161 0.3055 0.8486  1 Ru 2.38, 1 S 2.53
Cl 0.4537 0.5774 0.4184  1 Cl 2.00
Cl 0.4537 0.9226 0.9184  1 Cl 2.00
Cl 0.4901 0.2036 0.1331  1 Cl 2.00
Cl 0.4901 0.2964 0.6331  1 Cl 2.00
Cl 0.5099 0.7036 0.3669  1 Cl 2.00
Cl 0.5099 0.7964 0.8669  1 Cl 2.00
Cl 0.5463 0.0774 0.0816  1 Cl 2.00
Cl 0.5463 0.4226 0.5816  1 Cl 2.00
Cl 0.5839 0.6945 0.1514  1 Ru 2.38, 1 S 2.53
Cl 0.5839 0.8055 0.6514  1 Ru 2.38, 1 S 2.53
Cl 0.6408 0.6016 0.7870  1 S 2.10
Cl 0.6408 0.8984 0.2870  1 S 2.10
Cl 0.6541 0.1236 0.4956  1 S 2.02
Cl 0.6541 0.3764 0.9956  1 S 2.02
Cl 0.6953 0.0429 0.7488  1 S 2.11
Cl 0.6953 0.4571 0.2488  1 S 2.11
Cl 0.8023 0.6391 0.6091  1 Ru 2.41
Cl 0.8023 0.8609 0.1091  1 Ru 2.41
Cl 0.8044 0.5898 0.0817  1 Ru 2.43
Cl 0.8044 0.9102 0.5817  1 Ru 2.43
Cl 0.8642 0.1761 0.1847  1 S 2.09
Cl 0.8642 0.3240 0.6847  1 S 2.09
Cl 0.8847 0.5753 0.4048  1 S 2.07
Cl 0.8847 0.9247 0.9048  1 S 2.07
Cl 0.9271 0.2210 0.3847  1 S 2.05
Cl 0.9271 0.2790 0.8847  1 S 2.05
Cl 0.9389 0.5931 0.8582  1 S 2.09
Cl 0.9389 0.9069 0.3582  1 S 2.09

[2]
Material: RuS2Cl2
Method: DFT, GGA-PBE
State: optimized geometry

Computed properties:
ΔE_f (raw)	-0.216	eV/atom
V	27.981	Å³ per atom

abc: 6.6359 6.6359 7.6654
angles: 109.09 109.09 103.03
Closest atoms and distances in Å follow each position.
Fractional coordinates of all 10 atoms:
Ru 0.1519 0.8481 0.0000  2 Cl 2.30, 4 S 2.35-2.45
Ru 0.8481 0.1519 0.0000  2 Cl 2.30, 4 S 2.35-2.45
S 0.0898 0.0898 0.8200  1 S 1.98
S 0.1794 0.1794 0.2576  1 S 1.98
S 0.8206 0.8206 0.7424  1 S 1.98
S 0.9102 0.9102 0.1800  1 S 1.98
Cl 0.3003 0.6864 0.7830  1 Ru 2.30
Cl 0.3136 0.6997 0.2170  1 Ru 2.30
Cl 0.6864 0.3003 0.7830  1 Ru 2.30
Cl 0.6997 0.3136 0.2170  1 Ru 2.30

[3]
Material: RuSCl3
Method: DFT, GGA-PBE
State: optimized geometry

Computed properties:
ΔE_f (raw)	0.905	eV/atom
distance to the lowest polymorph of the same formula	1.238	eV per atom
V	23.482	Å³ per atom

abc: 4.8967 4.8967 4.8967
angles: 90.00 90.00 90.00
Closest atoms and distances in Å follow each position.
Fractional coordinates of all 5 atoms:
Ru 0.0000 0.0000 0.0000  12 Cl 3.46
S 0.5000 0.5000 0.5000  6 Cl 2.45
Cl 0.0000 0.5000 0.5000  2 S 2.45
Cl 0.5000 0.0000 0.5000  2 S 2.45
Cl 0.5000 0.5000 0.0000  2 S 2.45

[4]
Material: RuSCl2
Method: DFT, GGA-PBE
State: optimized geometry

Computed properties:
ΔE_f (raw)	1.010	eV/atom
distance to the lowest polymorph of the same formula	0.999	eV per atom
V	17.598	Å³ per atom

abc: 4.6346 4.6346 4.6346
angles: 60.00 60.00 60.00
Closest atoms and distances in Å follow each position.
Fractional coordinates of all 4 atoms:
Ru 0.0000 0.0000 0.0000  8 Cl 2.84
S 0.5000 0.5000 0.5000  8 Cl 2.84
Cl 0.2500 0.2500 0.2500  4 S 2.84, 4 Ru 2.84
Cl 0.7500 0.7500 0.7500  4 S 2.84, 4 Ru 2.84

[5]
Material: RuSCl4
Method: DFT, GGA-PBE
State: optimized geometry

Computed properties:
ΔE_f (raw)	-0.136	eV/atom
V	26.817	Å³ per atom

abc: 8.5932 8.5932 6.3613
angles: 97.87 97.87 133.14
Closest atoms and distances in Å follow each position.
Fractional coordinates of all 12 atoms:
Ru 0.0546 0.9454 0.7500  6 Cl 2.39-2.40
Ru 0.9454 0.0546 0.2500  6 Cl 2.39-2.40
S 0.4353 0.5647 0.2500  2 Cl 2.23
S 0.5647 0.4353 0.7500  2 Cl 2.23
Cl 0.0775 0.3853 0.1756  1 S 2.23, 1 Ru 2.39
Cl 0.1467 0.2504 0.6423  2 Ru 2.40, 1 S 2.67
Cl 0.2504 0.1467 0.1423  2 Ru 2.40, 1 S 2.67
Cl 0.3853 0.0775 0.6756  1 S 2.23, 1 Ru 2.39
Cl 0.6147 0.9225 0.3244  1 S 2.23, 1 Ru 2.39
Cl 0.7496 0.8533 0.8577  2 Ru 2.40, 1 S 2.67
Cl 0.8533 0.7496 0.3577  2 Ru 2.40, 1 S 2.67
Cl 0.9225 0.6147 0.8244  1 S 2.23, 1 Ru 2.39

[6]
Material: RuSCl2
Method: DFT, GGA-PBE
State: optimized geometry

Computed properties:
ΔE_f (raw)	0.010	eV/atom
distance to the lowest polymorph of the same formula	0.000	eV per atom
V	23.101	Å³ per atom

abc: 6.8488 6.8488 6.8488
angles: 95.90 95.90 142.60
Closest atoms and distances in Å follow each position.
Fractional coordinates of all 8 atoms:
Ru 0.0000 0.0000 0.0000  2 S 2.20
Ru 0.7500 0.2500 0.5000  2 S 2.20
S 0.2500 0.7500 0.5000  2 Ru 2.20
S 0.5000 0.5000 0.0000  2 Ru 2.20
Cl 0.3750 0.2181 0.3431  2 Ru 2.51
Cl 0.7819 0.1250 0.1569  2 Ru 2.51
Cl 0.8750 0.0319 0.6569  2 Ru 2.51
Cl 0.9681 0.6250 0.8431  2 Ru 2.51

[7]
Material: RuSCl2
Method: DFT, GGA-PBE
State: optimized geometry

Computed properties:
ΔE_f (raw)	0.471	eV/atom
distance to the lowest polymorph of the same formula	0.461	eV per atom
V	21.751	Å³ per atom

abc: 12.5036 12.5036 12.5036
angles: 13.07 13.07 13.07
Closest atoms and distances in Å follow each position.
Fractional coordinates of all 4 atoms:
Ru 0.0000 0.0000 0.0000  2 Cl 2.22
S 0.5000 0.5000 0.5000  6 S 2.85
Cl 0.0596 0.0596 0.0596  1 Ru 2.22
Cl 0.9404 0.9404 0.9404  1 Ru 2.22

[8]
Material: RuSCl2
Method: DFT, GGA-PBE
State: optimized geometry

Computed properties:
ΔE_f (raw)	0.469	eV/atom
distance to the lowest polymorph of the same formula	0.458	eV per atom
V	20.328	Å³ per atom

abc: 7.3657 7.3657 7.3657
angles: 28.67 28.67 28.67
Closest atoms and distances in Å follow each position.
Fractional coordinates of all 4 atoms:
Ru 0.0000 0.0000 0.0000  6 Cl 2.44
S 0.5000 0.5000 0.5000  2 Cl 2.30
Cl 0.3912 0.3912 0.3912  1 S 2.30, 3 Ru 2.44
Cl 0.6088 0.6088 0.6088  1 S 2.30, 3 Ru 2.44

[9]
Material: RuSCl3
Method: DFT, GGA-PBE
State: optimized geometry

Computed properties:
ΔE_f (raw)	0.462	eV/atom
distance to the lowest polymorph of the same formula	0.795	eV per atom
V	21.165	Å³ per atom

abc: 4.7300 4.7300 4.7300
angles: 90.00 90.00 90.00
Closest atoms and distances in Å follow each position.
Fractional coordinates of all 5 atoms:
Ru 0.0000 0.0000 0.0000  6 Cl 2.37
S 0.5000 0.5000 0.5000  12 Cl 3.34
Cl 0.0000 0.0000 0.5000  2 Ru 2.37
Cl 0.0000 0.5000 0.0000  2 Ru 2.37
Cl 0.5000 0.0000 0.0000  2 Ru 2.37

[10]
Material: Ru3SCl
Method: DFT, GGA-PBE
State: optimized geometry

Computed properties:
ΔE_f (raw)	0.899	eV/atom
distance to the lowest polymorph of the same formula	0.000	eV per atom
V	17.581	Å³ per atom

abc: 4.4463 4.4463 4.4463
angles: 90.00 90.00 90.00
Closest atoms and distances in Å follow each position.
Fractional coordinates of all 5 atoms:
Ru 0.0000 0.0000 0.5000  2 S 2.22
Ru 0.0000 0.5000 0.0000  2 S 2.22
Ru 0.5000 0.0000 0.0000  2 S 2.22
S 0.0000 0.0000 0.0000  6 Ru 2.22
Cl 0.5000 0.5000 0.5000  12 Ru 3.14

[11]
Material: RuSCl3
Method: DFT, GGA-PBE
State: optimized geometry

Computed properties:
ΔE_f (raw)	-0.333	eV/atom
distance to the lowest polymorph of the same formula	0.000	eV per atom
V	25.414	Å³ per atom

abc: 7.7520 7.7520 6.0261
angles: 110.24 110.24 114.32
Closest atoms and distances in Å follow each position.
Fractional coordinates of all 10 atoms:
Ru 0.0770 0.9230 0.5000  1 S 2.14, 1 Cl 2.34
Ru 0.9230 0.0770 0.0000  1 S 2.14, 1 Cl 2.34
S 0.0282 0.6290 0.1992  1 Ru 2.14, 1 Cl 2.23
S 0.6290 0.0282 0.6992  1 Ru 2.14, 1 Cl 2.23
Cl 0.0249 0.4146 0.3691  1 S 2.23, 1 Ru 2.34
Cl 0.1527 0.2801 0.8691  2 Ru 2.41-2.54
Cl 0.2801 0.1527 0.3691  2 Ru 2.41-2.54
Cl 0.4146 0.0249 0.8691  1 S 2.23, 1 Ru 2.34
Cl 0.7427 0.8600 0.1585  2 Ru 2.40-2.41
Cl 0.8600 0.7427 0.6585  2 Ru 2.40-2.41

[12]
Material: SbRuS2Cl
Method: DFT, GGA-PBE
State: optimized geometry

Computed properties:
ΔE_f (raw)	0.209	eV/atom
distance to the lowest polymorph of the same formula	0.000	eV per atom
V	20.455	Å³ per atom

abc: 4.6536 4.6536 4.7229
angles: 90.00 90.00 90.00
Closest atoms and distances in Å follow each position.
Fractional coordinates of all 5 atoms:
Sb 0.0000 0.0000 0.0000  4 Cl 3.29, 8 S 3.32
Ru 0.5000 0.5000 0.5000  4 S 2.33, 2 Cl 2.36
S 0.0000 0.5000 0.5000  2 Ru 2.33
S 0.5000 0.0000 0.5000  2 Ru 2.33
Cl 0.5000 0.5000 0.0000  2 Ru 2.36

Question: Number 12 is which compound?
Answer: SbRuS2Cl